Record 1
A plane-wave DFT calculation with PBE-GGA was carried out for crystalline CsHoS2O8 at its relaxed geometry.

Lattice parameters (Å, degrees): 5.4117 5.4117 8.8581 90.00 90.00 120.00
Fractional coordinates of all 12 atoms:
Cs 0.0000 0.0000 0.0000
Ho 0.0000 0.0000 0.5000
S 0.3333 0.6667 0.7115
S 0.6667 0.3333 0.2885
O 0.1335 0.3745 0.6518
O 0.2410 0.8665 0.6518
O 0.3333 0.6667 0.8762
O 0.3745 0.2410 0.3482
O 0.6255 0.7590 0.6518
O 0.6667 0.3333 0.1238
O 0.7590 0.1335 0.3482
O 0.8665 0.6255 0.3482

Total moment (μB/atom): 0.0000
E_form (uncorrected) (eV/atom): -2.12
SG: No. 147
DOS at the Fermi energy (states/eV per cell): 0.0



Record 2
A plane-wave DFT calculation with PBE-GGA was carried out for crystalline Cs2HoSO6 at its relaxed geometry.

Lattice parameters (Å, degrees): 6.6648 6.6648 5.5573 90.00 90.00 120.00
Fractional coordinates of all 10 atoms:
Cs 0.3333 0.6667 0.1405
Cs 0.6667 0.3333 0.8595
Ho 0.0000 0.0000 0.5000
S 0.0000 0.0000 0.0000
O 0.1195 0.2391 0.8215
O 0.1195 0.8805 0.8215
O 0.2391 0.1195 0.1785
O 0.7609 0.8805 0.8215
O 0.8805 0.1195 0.1785
O 0.8805 0.7609 0.1785

Total moment (μB/atom): 0.1035
E_form (uncorrected) (eV/atom): -1.62
SG: No. 164
DOS at the Fermi energy (states/eV per cell): 1.7



Record 3
A plane-wave DFT calculation with PBE-GGA was carried out for crystalline Cs2HoSb2O6 at its relaxed geometry.

Lattice parameters (Å, degrees): 6.2330 6.2330 7.7221 111.21 111.21 61.31
Fractional coordinates of all 11 atoms:
Cs 0.2150 0.2150 0.1784
Cs 0.7850 0.7850 0.8216
Ho 0.0000 0.0000 0.5000
Sb 0.4240 0.4240 0.7660
Sb 0.5760 0.5760 0.2340
O 0.2306 0.2306 0.5906
O 0.2433 0.7305 0.2850
O 0.2695 0.7567 0.7150
O 0.7305 0.2433 0.2850
O 0.7567 0.2695 0.7150
O 0.7694 0.7694 0.4094

Total moment (μB/atom): 0.0826
E_form (uncorrected) (eV/atom): -1.85
SG: No. 12
DOS at the Fermi energy (states/eV per cell): 2.4



Record 4
A plane-wave DFT calculation with PBE-GGA was carried out for crystalline Cs3HoSb2O8 at its relaxed geometry.

Lattice parameters (Å, degrees): 6.3235 6.3235 8.6495 90.00 90.00 120.00
Fractional coordinates of all 14 atoms:
Cs 0.0000 0.0000 0.0000
Cs 0.3333 0.6667 0.7290
Cs 0.6667 0.3333 0.2710
Ho 0.0000 0.0000 0.5000
Sb 0.3333 0.6667 0.2735
Sb 0.6667 0.3333 0.7265
O 0.1687 0.3374 0.3489
O 0.1687 0.8313 0.3489
O 0.3333 0.6667 0.0568
O 0.3374 0.1687 0.6511
O 0.6626 0.8313 0.3489
O 0.6667 0.3333 0.9432
O 0.8313 0.1687 0.6511
O 0.8313 0.6626 0.6511

Total moment (μB/atom): 0.0000
E_form (uncorrected) (eV/atom): -1.88
SG: No. 164
DOS at the Fermi energy (states/eV per cell): 0.0



Record 5
A plane-wave DFT calculation with PBE-GGA was carried out for crystalline CsHoSi2O6 at its relaxed geometry.

Lattice parameters (Å, degrees): 7.2557 7.2557 5.5958 98.28 98.28 87.40
Fractional coordinates of all 20 atoms:
Cs 0.1847 0.8153 0.7500
Cs 0.8153 0.1847 0.2500
Ho 0.3834 0.6166 0.2500
Ho 0.6166 0.3834 0.7500
Si 0.1440 0.3031 0.8128
Si 0.3031 0.1440 0.3128
Si 0.6969 0.8560 0.6872
Si 0.8560 0.6969 0.1872
O 0.0707 0.6234 0.2322
O 0.1685 0.1792 0.0490
O 0.1792 0.1685 0.5490
O 0.3228 0.4428 0.8760
O 0.3766 0.9293 0.2678
O 0.4428 0.3228 0.3760
O 0.5572 0.6772 0.6240
O 0.6234 0.0707 0.7322
O 0.6772 0.5572 0.1240
O 0.8208 0.8315 0.4510
O 0.8315 0.8208 0.9510
O 0.9293 0.3766 0.7678

Total moment (μB/atom): 0.0000
E_form (uncorrected) (eV/atom): -2.83
SG: No. 15
DOS at the Fermi energy (states/eV per cell): 0.0



Record 6
A plane-wave DFT calculation with PBE-GGA was carried out for crystalline CsHoSiO4 at its relaxed geometry.

Lattice parameters (Å, degrees): 5.6010 5.7909 8.0892 90.00 108.59 90.00
Fractional coordinates of all 14 atoms:
Cs 0.1973 0.2500 0.4299
Cs 0.8027 0.7500 0.5701
Ho 0.2868 0.2500 0.9630
Ho 0.7132 0.7500 0.0370
Si 0.2564 0.7500 0.1456
Si 0.7436 0.2500 0.8544
O 0.0555 0.7500 0.9460
O 0.0812 0.7500 0.2734
O 0.4530 0.5286 0.1634
O 0.4530 0.9714 0.1634
O 0.5470 0.0286 0.8366
O 0.5470 0.4714 0.8366
O 0.9188 0.2500 0.7266
O 0.9445 0.2500 0.0540

Total moment (μB/atom): 0.0000
E_form (uncorrected) (eV/atom): -2.89
SG: No. 11
DOS at the Fermi energy (states/eV per cell): 0.0



Record 7
A plane-wave DFT calculation with PBE-GGA was carried out for crystalline Cs2SmHoO4 at its relaxed geometry.

Lattice parameters (Å, degrees): 6.2305 3.5973 7.2124 90.00 106.70 90.00
Fractional coordinates of all 8 atoms:
Cs 0.0000 0.0000 0.0000
Cs 0.5000 0.5000 0.0000
Sm 0.0000 0.5000 0.5000
Ho 0.5000 0.0000 0.5000
O 0.2292 0.0000 0.6659
O 0.2850 0.5000 0.3347
O 0.7150 0.5000 0.6653
O 0.7708 0.0000 0.3341

Total moment (μB/atom): 0.0000
E_form (uncorrected) (eV/atom): -2.59
SG: No. 10
DOS at the Fermi energy (states/eV per cell): 0.0



Record 8
A plane-wave DFT calculation with PBE-GGA was carried out for crystalline CsHoSnO3 at its relaxed geometry.

Lattice parameters (Å, degrees): 7.7403 3.5024 10.1617 90.00 94.51 90.00
Fractional coordinates of all 12 atoms:
Cs 0.1560 0.2500 0.2161
Cs 0.8440 0.7500 0.7839
Ho 0.3978 0.2500 0.8753
Ho 0.6022 0.7500 0.1247
Sn 0.2630 0.7500 0.6005
Sn 0.7370 0.2500 0.3995
O 0.1680 0.2500 0.7062
O 0.3426 0.7500 0.0082
O 0.4685 0.7500 0.7416
O 0.5315 0.2500 0.2584
O 0.6574 0.2500 0.9918
O 0.8320 0.7500 0.2938

Total moment (μB/atom): 0.0000
E_form (uncorrected) (eV/atom): -2.25
SG: No. 11
DOS at the Fermi energy (states/eV per cell): 0.0



Record 9
A plane-wave DFT calculation with PBE-GGA was carried out for crystalline Cs2HoTe2O6 at its relaxed geometry.

Lattice parameters (Å, degrees): 6.0907 6.0907 7.5922 106.75 106.75 65.47
Fractional coordinates of all 11 atoms:
Cs 0.2017 0.2017 0.1381
Cs 0.7983 0.7983 0.8619
Ho 0.0000 0.0000 0.5000
Te 0.4162 0.4162 0.7370
Te 0.5838 0.5838 0.2630
O 0.2318 0.7433 0.2808
O 0.2331 0.2331 0.5536
O 0.2567 0.7682 0.7192
O 0.7433 0.2318 0.2808
O 0.7669 0.7669 0.4464
O 0.7682 0.2567 0.7192

Total moment (μB/atom): 0.0000
E_form (uncorrected) (eV/atom): -1.65
SG: No. 12
DOS at the Fermi energy (states/eV per cell): 2.3



Record 10
A plane-wave DFT calculation with PBE-GGA was carried out for crystalline Cs3HoTe2O8 at its relaxed geometry.

Lattice parameters (Å, degrees): 6.4577 6.4577 8.6561 90.00 90.00 120.00
Fractional coordinates of all 14 atoms:
Cs 0.0000 0.0000 0.0000
Cs 0.3333 0.6667 0.7718
Cs 0.6667 0.3333 0.2282
Ho 0.0000 0.0000 0.5000
Te 0.3333 0.6667 0.3104
Te 0.6667 0.3333 0.6896
O 0.1593 0.3185 0.3379
O 0.1593 0.8407 0.3379
O 0.3185 0.1593 0.6621
O 0.3333 0.6667 0.0963
O 0.6667 0.3333 0.9037
O 0.6815 0.8407 0.3379
O 0.8407 0.1593 0.6621
O 0.8407 0.6815 0.6621

Total moment (μB/atom): 0.1125
E_form (uncorrected) (eV/atom): -1.66
SG: No. 164
DOS at the Fermi energy (states/eV per cell): 3.7



Record 11
A plane-wave DFT calculation with PBE-GGA was carried out for crystalline CsHo3Te4O12 at its relaxed geometry.

Lattice parameters (Å, degrees): 7.3656 7.3656 7.3656 103.32 103.32 103.32
Fractional coordinates of all 20 atoms:
Cs 0.0000 0.0000 0.0000
Ho 0.0000 0.5754 0.4246
Ho 0.4246 0.0000 0.5754
Ho 0.5754 0.4246 0.0000
Te 0.0933 0.5000 0.9067
Te 0.5000 0.5000 0.5000
Te 0.5000 0.9067 0.0933
Te 0.9067 0.0933 0.5000
O 0.0646 0.2945 0.4074
O 0.0746 0.9254 0.5000
O 0.2945 0.4074 0.0646
O 0.3223 0.6777 0.5000
O 0.4074 0.0646 0.2945
O 0.5000 0.0746 0.9254
O 0.5000 0.3223 0.6777
O 0.5926 0.7055 0.9354
O 0.6777 0.5000 0.3223
O 0.7055 0.9354 0.5926
O 0.9254 0.5000 0.0746
O 0.9354 0.5926 0.7055

Total moment (μB/atom): 0.0000
E_form (uncorrected) (eV/atom): -1.80
SG: No. 155
DOS at the Fermi energy (states/eV per cell): 3.6



Record 12
A plane-wave DFT calculation with PBE-GGA was carried out for crystalline CsHoTeO4 at its relaxed geometry.

Lattice parameters (Å, degrees): 5.9791 6.2324 8.2228 90.00 104.14 90.00
Fractional coordinates of all 14 atoms:
Cs 0.1179 0.2500 0.1361
Cs 0.8821 0.7500 0.8639
Ho 0.1576 0.7500 0.4637
Ho 0.8424 0.2500 0.5363
Te 0.4056 0.2500 0.7181
Te 0.5944 0.7500 0.2819
O 0.1634 0.0185 0.6487
O 0.1634 0.4815 0.6487
O 0.2368 0.7500 0.2152
O 0.4491 0.2500 0.4952
O 0.5509 0.7500 0.5048
O 0.7632 0.2500 0.7848
O 0.8366 0.5185 0.3513
O 0.8366 0.9815 0.3513

Total moment (μB/atom): 0.0000
E_form (uncorrected) (eV/atom): -2.06
SG: No. 11
DOS at the Fermi energy (states/eV per cell): 0.0



Copy entry 6 word for word.
A plane-wave DFT calculation with PBE-GGA was carried out for crystalline CsHoSiO4 at its relaxed geometry.

Lattice parameters (Å, degrees): 5.6010 5.7909 8.0892 90.00 108.59 90.00
Fractional coordinates of all 14 atoms:
Cs 0.1973 0.2500 0.4299
Cs 0.8027 0.7500 0.5701
Ho 0.2868 0.2500 0.9630
Ho 0.7132 0.7500 0.0370
Si 0.2564 0.7500 0.1456
Si 0.7436 0.2500 0.8544
O 0.0555 0.7500 0.9460
O 0.0812 0.7500 0.2734
O 0.4530 0.5286 0.1634
O 0.4530 0.9714 0.1634
O 0.5470 0.0286 0.8366
O 0.5470 0.4714 0.8366
O 0.9188 0.2500 0.7266
O 0.9445 0.2500 0.0540

Total moment (μB/atom): 0.0000
E_form (uncorrected) (eV/atom): -2.89
SG: No. 11
DOS at the Fermi energy (states/eV per cell): 0.0